# Ba3As

Ba3As after structural relaxation (GGA-PBE, Alexandria via LeMat-Bulk).

Geometry as POSCAR:
```
Ba3As
1.0
-1.064 6.802 -0.880
-1.184 0.695 6.804
6.756 1.193 1.054
Ba As
6 2
Direct
0.000 0.250 0.500 Ba
0.750 0.500 0.000 Ba
0.000 0.750 0.500 Ba
0.500 0.000 0.750 Ba
0.500 0.000 0.250 Ba
0.250 0.500 0.000 Ba
0.500 0.500 0.500 As
0.000 0.000 0.000 As
```

## Properties
The energy above the most stable polymorph in this dataset comes out at 1.56 eV per formula unit. For the calculated formation energy, the calculation gives -0.2257 eV per atom. The calculation puts the total energy at -11.32 eV per formula unit. Its density of states at the Fermi level is 0.86 states/eV/atom.